Below is KNbCl3 after structural relaxation, with properties calculated at the GGA-PBE level.

Values from the calculation:
ΔE to the lowest computed polymorph: 1 kJ/mol of formula units
Total magnetic moment: 6.00 μB per cell

Geometry as POSCAR:
```
KNbCl3
1.0
3.6417 2.1026 5.6228
-3.6417 2.1026 5.6228
0.0000 -4.2051 5.6228
K Nb Cl
2 2 6
direct
0.2500 0.2500 0.2500 K
0.7500 0.7500 0.7500 K
0.0000 0.0000 0.0000 Nb
0.5000 0.5000 0.5000 Nb
0.1694 0.7500 0.3306 Cl
0.2500 0.6694 0.8306 Cl
0.3306 0.1694 0.7500 Cl
0.6694 0.8306 0.2500 Cl
0.7500 0.3306 0.1694 Cl
0.8306 0.2500 0.6694 Cl
```

---

Below is KNbCl3 after structural relaxation, with properties calculated at the GGA-PBE level.

Values from the calculation:
ΔE to the lowest computed polymorph: 0 kJ/mol of formula units
Total magnetic moment: 6.00 μB per cell

Geometry as POSCAR:
```
KNbCl3
1.0
3.4830 2.0109 6.7465
-3.4830 2.0109 6.7465
0.0000 -4.0218 6.7465
K Nb Cl
2 2 6
direct
0.1470 0.1470 0.1470 K
0.8530 0.8530 0.8530 K
0.3356 0.3356 0.3356 Nb
0.6644 0.6644 0.6644 Nb
0.0634 0.4454 0.7003 Cl
0.2997 0.9366 0.5546 Cl
0.4454 0.7003 0.0634 Cl
0.5546 0.2997 0.9366 Cl
0.7003 0.0634 0.4454 Cl
0.9366 0.5546 0.2997 Cl
```

---

Below is KNb2Cl11 after structural relaxation, with properties calculated at the GGA-PBE level.

Values from the calculation:
E_tot: -0.159 hartree per atom
Total magnetic moment: 0.00 μB per cell

Geometry as POSCAR:
```
KNb2Cl11
1.0
6.8588 0.0000 0.0000
0.3252 6.9090 0.0000
3.2407 3.0218 16.6074
K Nb Cl
2 4 22
direct
0.2470 0.2473 0.0035 K
0.7530 0.7527 0.9965 K
0.1750 0.6774 0.1623 Nb
0.3253 0.8240 0.5898 Nb
0.6747 0.1760 0.4102 Nb
0.8250 0.3226 0.8377 Nb
0.0115 0.8775 0.6547 Cl
0.0482 0.0497 0.8521 Cl
0.0817 0.5321 0.8460 Cl
0.1123 0.6387 0.3002 Cl
0.2160 0.7118 0.4860 Cl
0.2479 0.7282 0.0108 Cl
0.3248 0.1674 0.5006 Cl
0.3993 0.5163 0.6518 Cl
0.4017 0.4098 0.1604 Cl
0.4410 0.8991 0.1464 Cl
0.4734 0.9800 0.6723 Cl
0.5266 0.0200 0.3277 Cl
0.5590 0.1009 0.8536 Cl
0.5983 0.5902 0.8396 Cl
0.6007 0.4837 0.3482 Cl
0.6752 0.8326 0.4994 Cl
0.7521 0.2718 0.9892 Cl
0.7840 0.2882 0.5140 Cl
0.8877 0.3613 0.6998 Cl
0.9183 0.4679 0.1540 Cl
0.9518 0.9503 0.1479 Cl
0.9885 0.1225 0.3453 Cl
```

---

Below is K2Nb3Cl7O5 after structural relaxation, with properties calculated at the GGA-PBE level.

Values from the calculation:
E_tot: -0.225 hartree per atom
Total magnetic moment: 0.00 μB per cell

Geometry as POSCAR:
```
K2Nb3Cl7O5
1.0
8.3594 -4.4720 0.0000
8.3594 4.4720 0.0000
-4.3939 0.0000 10.2937
K Nb Cl O
4 6 14 10
direct
0.1699 0.2397 0.3568 K
0.2397 0.1699 0.8568 K
0.7603 0.8301 0.1432 K
0.8301 0.7603 0.6432 K
0.2094 0.7840 0.0269 Nb
0.2160 0.7906 0.4731 Nb
0.4602 0.5398 0.7500 Nb
0.5398 0.4602 0.2500 Nb
0.7840 0.2094 0.5269 Nb
0.7906 0.2160 0.9731 Nb
0.0465 0.6332 0.9518 Cl
0.0598 0.6312 0.3644 Cl
0.0853 0.9147 0.2500 Cl
0.2702 0.4189 0.6596 Cl
0.3668 0.9535 0.5482 Cl
0.3688 0.9402 0.1356 Cl
0.4189 0.2702 0.1596 Cl
0.5811 0.7298 0.8404 Cl
0.6312 0.0598 0.8644 Cl
0.6332 0.0465 0.4518 Cl
0.7298 0.5811 0.3404 Cl
0.9147 0.0853 0.7500 Cl
0.9402 0.3688 0.6356 Cl
0.9535 0.3668 0.0482 Cl
0.0000 0.0000 0.0000 O
0.0000 0.0000 0.5000 O
0.2816 0.7135 0.8760 O
0.2865 0.7184 0.6240 O
0.3977 0.5973 0.1237 O
0.4027 0.6023 0.3763 O
0.5973 0.3977 0.6237 O
0.6023 0.4027 0.8763 O
0.7135 0.2816 0.3760 O
0.7184 0.2865 0.1240 O
```

---

Below is KNbTl2Cl6 after structural relaxation, with properties calculated at the GGA-PBE level.

Values from the calculation:
E_tot: -0.145 hartree per atom
Total magnetic moment: 2.00 μB per cell

Geometry as POSCAR:
```
KNbTl2Cl6
1.0
-3.7146 3.7146 5.5148
3.7146 -3.7146 5.5148
3.7146 3.7146 -5.5148
K Nb Tl Cl
1 1 2 6
direct
0.0000 0.0000 0.0000 K
0.5000 0.5000 0.0000 Nb
0.2500 0.7500 0.5000 Tl
0.7500 0.2500 0.5000 Tl
0.1966 0.3578 0.5544 Cl
0.2726 0.2726 0.0000 Cl
0.3578 0.8034 0.1612 Cl
0.6422 0.1966 0.8388 Cl
0.7274 0.7274 0.0000 Cl
0.8034 0.6422 0.4456 Cl
```

---

Below is K3NiCl6 after structural relaxation, with properties calculated at the GGA-PBE level.

Values from the calculation:
E_tot: -0.121 hartree per atom
Total magnetic moment: 1.00 μB per cell

Geometry as POSCAR:
```
K3NiCl6
1.0
0.0000 5.1777 5.1777
5.1777 0.0000 5.1777
5.1777 5.1777 0.0000
K Ni Cl
3 1 6
direct
0.0000 0.0000 0.0000 K
0.2500 0.2500 0.2500 K
0.7500 0.7500 0.7500 K
0.5000 0.5000 0.5000 Ni
0.2783 0.2783 0.7217 Cl
0.2783 0.7217 0.2783 Cl
0.2783 0.7217 0.7217 Cl
0.7217 0.2783 0.2783 Cl
0.7217 0.2783 0.7217 Cl
0.7217 0.7217 0.2783 Cl
```

---

Below is KNiCl3 after structural relaxation, with properties calculated at the GGA-PBE level.

Values from the calculation:
E_tot: -0.132 hartree per atom
Total magnetic moment: 12.00 μB per cell

Geometry as POSCAR:
```
KNiCl3
1.0
11.7710 0.0000 0.0000
-5.8855 10.1940 0.0000
0.0000 0.0000 5.9362
K Ni Cl
6 6 18
direct
0.0000 0.3350 0.0000 K
0.0000 0.6650 0.5000 K
0.3350 0.0000 0.0000 K
0.3350 0.3350 0.5000 K
0.6650 0.0000 0.5000 K
0.6650 0.6650 0.0000 K
0.0000 0.0000 0.1806 Ni
0.0000 0.0000 0.6806 Ni
0.3333 0.6667 0.3011 Ni
0.3333 0.6667 0.8011 Ni
0.6667 0.3333 0.3011 Ni
0.6667 0.3333 0.8011 Ni
0.0000 0.1604 0.4265 Cl
0.0000 0.8396 0.9265 Cl
0.1604 0.0000 0.4265 Cl
0.1604 0.1604 0.9265 Cl
0.1737 0.5061 0.5526 Cl
0.1737 0.6676 0.0526 Cl
0.3324 0.5061 0.0526 Cl
0.3324 0.8263 0.5526 Cl
0.4939 0.6676 0.5526 Cl
0.4939 0.8263 0.0526 Cl
0.5061 0.1737 0.5526 Cl
0.5061 0.3324 0.0526 Cl
0.6676 0.1737 0.0526 Cl
0.6676 0.4939 0.5526 Cl
0.8263 0.3324 0.5526 Cl
0.8263 0.4939 0.0526 Cl
0.8396 0.0000 0.9265 Cl
0.8396 0.8396 0.4265 Cl
```

---

Below is KRb2NiCl6 after structural relaxation, with properties calculated at the GGA-PBE level.

Values from the calculation:
E_tot: -0.121 hartree per atom
Total magnetic moment: 1.00 μB per cell

Geometry as POSCAR:
```
KRb2NiCl6
1.0
0.0000 5.2271 5.2271
5.2271 0.0000 5.2271
5.2271 5.2271 0.0000
K Rb Ni Cl
1 2 1 6
direct
0.0000 0.0000 0.0000 K
0.2500 0.2500 0.2500 Rb
0.7500 0.7500 0.7500 Rb
0.5000 0.5000 0.5000 Ni
0.2795 0.2795 0.7205 Cl
0.2795 0.7205 0.2795 Cl
0.2795 0.7205 0.7205 Cl
0.7205 0.2795 0.2795 Cl
0.7205 0.2795 0.7205 Cl
0.7205 0.7205 0.2795 Cl
```

---

Below is K2NiSbCl6 after structural relaxation, with properties calculated at the GGA-PBE level.

Values from the calculation:
E_tot: -0.126 hartree per atom
Total magnetic moment: 1.00 μB per cell

Geometry as POSCAR:
```
K2NiSbCl6
1.0
0.0000 5.0918 5.0918
5.0918 0.0000 5.0918
5.0918 5.0918 0.0000
K Ni Sb Cl
2 1 1 6
direct
0.2500 0.2500 0.2500 K
0.7500 0.7500 0.7500 K
0.0000 0.0000 0.0000 Ni
0.5000 0.5000 0.5000 Sb
0.2378 0.2378 0.7622 Cl
0.2378 0.7622 0.2378 Cl
0.2378 0.7622 0.7622 Cl
0.7622 0.2378 0.2378 Cl
0.7622 0.2378 0.7622 Cl
0.7622 0.7622 0.2378 Cl
```

---

Below is K2NiTeCl6 after structural relaxation, with properties calculated at the GGA-PBE level.

Values from the calculation:
E_tot: -0.118 hartree per atom
Total magnetic moment: 0.04 μB per cell

Geometry as POSCAR:
```
K2NiTeCl6
1.0
0.0000 5.0711 5.0711
5.0711 0.0000 5.0711
5.0711 5.0711 0.0000
K Ni Te Cl
2 1 1 6
direct
0.2500 0.2500 0.2500 K
0.7500 0.7500 0.7500 K
0.0000 0.0000 0.0000 Ni
0.5000 0.5000 0.5000 Te
0.2328 0.2328 0.7672 Cl
0.2328 0.7672 0.2328 Cl
0.2328 0.7672 0.7672 Cl
0.7672 0.2328 0.2328 Cl
0.7672 0.2328 0.7672 Cl
0.7672 0.7672 0.2328 Cl
```

---

Below is KOsCl4O after structural relaxation, with properties calculated at the GGA-PBE level.

Values from the calculation:
E_tot: -0.166 hartree per atom
Total magnetic moment: 0.73 μB per cell

Geometry as POSCAR:
```
KOsCl4O
1.0
6.6718 -1.8630 0.0000
6.6718 1.8630 0.0000
-2.1807 0.0000 6.9687
K Os Cl O
1 1 4 1
direct
0.0000 0.0000 0.0000 K
0.5032 0.4968 0.5000 Os
0.3731 0.3630 0.1999 Cl
0.3750 0.3656 0.6593 Cl
0.6344 0.6250 0.3407 Cl
0.6370 0.6269 0.8001 Cl
0.0042 0.9958 0.5000 O
```

---

Below is K2ReCl5O after structural relaxation, with properties calculated at the GGA-PBE level.

Values from the calculation:
E_tot: -0.167 hartree per atom
Total magnetic moment: 0.00 μB per cell

Geometry as POSCAR:
```
K2ReCl5O
1.0
13.3428 0.0000 0.0000
0.0000 10.0331 0.0000
0.0000 0.0000 6.8664
K Re Cl O
8 4 20 4
direct
0.1395 0.0012 0.1804 K
0.1395 0.4988 0.1804 K
0.3605 0.5012 0.6804 K
0.3605 0.9988 0.6804 K
0.6395 0.0012 0.3196 K
0.6395 0.4988 0.3196 K
0.8605 0.5012 0.8196 K
0.8605 0.9988 0.8196 K
0.0980 0.7500 0.6766 Re
0.4020 0.2500 0.1766 Re
0.5980 0.7500 0.8234 Re
0.9020 0.2500 0.3234 Re
0.0025 0.7500 0.9730 Cl
0.1105 0.5123 0.6944 Cl
0.1105 0.9877 0.6944 Cl
0.2239 0.7500 0.4295 Cl
0.2461 0.7500 0.9039 Cl
0.2539 0.2500 0.4039 Cl
0.2761 0.2500 0.9295 Cl
0.3895 0.0123 0.1944 Cl
0.3895 0.4877 0.1944 Cl
0.4975 0.2500 0.4730 Cl
0.5025 0.7500 0.5270 Cl
0.6105 0.5123 0.8056 Cl
0.6105 0.9877 0.8056 Cl
0.7239 0.7500 0.0705 Cl
0.7461 0.7500 0.5961 Cl
0.7539 0.2500 0.0961 Cl
0.7761 0.2500 0.5705 Cl
0.8895 0.0123 0.3056 Cl
0.8895 0.4877 0.3056 Cl
0.9975 0.2500 0.0270 Cl
0.0022 0.2500 0.4754 O
0.4978 0.7500 0.9754 O
0.5022 0.2500 0.0246 O
0.9978 0.7500 0.5246 O
```